(1)
Computed, not measured: a relaxed DyMg2Cd crystal at the GGA-PBE level of DFT.

Geometry as POSCAR:
```
DyMg2Cd
1.0
4.496 0.000 0.000
0.000 4.496 0.000
0.000 0.000 4.859
Dy Mg Cd
1 2 1
Direct
0.000 0.000 0.000
0.000 0.500 0.500
0.500 0.000 0.500
0.500 0.500 0.000
```

As for the total energy: -9.363 eV per formula unit. The value obtained for the distance to the lowest polymorph of the same formula is 2.9 kJ/mol of atoms. The density of states at the Fermi level is 2.971 states/eV/f.u.

(2)
Computed, not measured: a relaxed DyMgCd6 crystal at the GGA-PBE level of DFT.

Geometry as POSCAR:
```
DyMgCd6
1.0
4.610 0.000 0.000
0.000 4.610 0.000
0.000 0.000 8.667
Dy Mg Cd
1 1 6
Direct
0.000 0.000 0.000
0.000 0.000 0.500
0.000 0.500 0.259
0.000 0.500 0.741
0.500 0.000 0.259
0.500 0.000 0.741
0.500 0.500 0.000
0.500 0.500 0.500
```

As for the total energy: -13.003 eV per formula unit. The value obtained for the distance to the lowest polymorph of the same formula is 0.4 kJ/mol of atoms. The density of states at the Fermi level is 3.724 states/eV/f.u.

(3)
Computed, not measured: a relaxed DyMg2Cd crystal at the GGA-PBE level of DFT.

Geometry as POSCAR:
```
DyMg2Cd
1.0
1.656 0.956 10.563
-1.656 0.956 10.563
0.000 -1.912 10.563
Dy Mg Cd
1 2 1
Direct
0.000 0.000 0.000
0.577 0.577 0.577
0.755 0.755 0.755
0.166 0.166 0.166
```

As for the total energy: -8.743 eV per formula unit. The value obtained for the distance to the lowest polymorph of the same formula is 17.9 kJ/mol of atoms. The density of states at the Fermi level is 3.165 states/eV/f.u.

Ρ list, top to bottom, in kg/m3: 5469 7765 5354
Energy of formation from the pure elements list, top to bottom, in eV per atom: -0.164 -0.164 -0.009